Record 1
This record from Alexandria describes ZnNi4S8 after structural relaxation. The functional is PBE.

abc: 6.9936 6.9936 6.9936
angles: 57.49 57.49 57.49
Last column: nearest neighbours and their distance in Å.
Fractional positions:
Zn 0.0000 0.0000 0.0000  6 S 2.54
Ni 0.0000 0.0000 0.5000  6 S 2.26-2.27
Ni 0.0000 0.5000 0.0000  6 S 2.26-2.27
Ni 0.5000 0.0000 0.0000  6 S 2.26-2.27
Ni 0.5000 0.5000 0.5000  6 S 2.33
S 0.2261 0.7406 0.7406  3 Ni 2.26-2.33
S 0.2345 0.2345 0.2345  3 Ni 2.27
S 0.2594 0.2594 0.7739  3 Ni 2.26-2.33
S 0.2594 0.7739 0.2594  3 Ni 2.26-2.33
S 0.7406 0.2261 0.7406  3 Ni 2.26-2.33
S 0.7406 0.7406 0.2261  3 Ni 2.26-2.33
S 0.7655 0.7655 0.7655  3 Ni 2.27
S 0.7739 0.2594 0.2594  3 Ni 2.26-2.33

Relative energy among the computed polymorphs in meV per atom: 0
Raw formation energy in eV per atom: -0.257
Calculated volume in Å³/cell: 227.89



Record 2
This record from Alexandria describes CsLaSe2 after structural relaxation. The functional is PBE.

abc: 4.1434 25.8283 5.6773
angles: 90.00 90.00 90.00
Last column: nearest neighbours and their distance in Å.
Fractional positions:
Cs 0.0000 0.0510 0.2500  2 Se 3.18
Cs 0.0000 0.9490 0.7500  2 Se 3.18
Cs 0.5000 0.4490 0.7500  2 Se 3.18
Cs 0.5000 0.5510 0.2500  2 Se 3.18
La 0.0000 0.3123 0.2500  3 Se 2.90-2.94
La 0.0000 0.6877 0.7500  3 Se 2.90-2.94
La 0.5000 0.1877 0.7500  3 Se 2.90-2.94
La 0.5000 0.8123 0.2500  3 Se 2.90-2.94
Se 0.0000 0.1068 0.7500  2 La 2.94, 2 Cs 3.18
Se 0.0000 0.2001 0.2500  1 La 2.90
Se 0.0000 0.7999 0.7500  1 La 2.90
Se 0.0000 0.8932 0.2500  2 La 2.94, 2 Cs 3.18
Se 0.5000 0.2999 0.7500  1 La 2.90
Se 0.5000 0.3932 0.2500  2 La 2.94, 2 Cs 3.18
Se 0.5000 0.6068 0.7500  2 La 2.94, 2 Cs 3.18
Se 0.5000 0.7001 0.2500  1 La 2.90

Raw formation energy in eV per atom: -1.427
Calculated volume in Å³/cell: 607.57



Record 3
This record from Alexandria describes Pr3NdSm2Se6 after structural relaxation. The functional is PBE.

abc: 7.3231 7.3231 7.3432
angles: 99.54 99.54 120.25
Last column: nearest neighbours and their distance in Å.
Fractional positions:
Pr 0.0000 0.0000 0.0000  6 Se 3.00-3.03
Pr 0.3354 0.6646 0.0000  6 Se 3.01-3.02
Pr 0.6646 0.3354 0.0000  6 Se 3.01-3.02
Nd 0.5000 0.5000 0.5000  6 Se 2.98-2.99
Sm 0.1665 0.8335 0.5000  6 Se 2.95-2.96
Sm 0.8335 0.1665 0.5000  6 Se 2.95-2.96
Se 0.0820 0.4187 0.2558  2 Sm 2.95-2.96, 1 Nd 2.99, 3 Pr 3.01-3.03
Se 0.2440 0.2440 0.7424  2 Sm 2.95, 1 Nd 2.98, 3 Pr 3.00-3.01
Se 0.4187 0.0820 0.2558  2 Sm 2.95-2.96, 1 Nd 2.99, 3 Pr 3.01-3.03
Se 0.5813 0.9180 0.7442  2 Sm 2.95-2.96, 1 Nd 2.99, 3 Pr 3.01-3.03
Se 0.7560 0.7560 0.2576  2 Sm 2.95, 1 Nd 2.98, 3 Pr 3.00-3.01
Se 0.9180 0.5813 0.7442  2 Sm 2.95-2.96, 1 Nd 2.99, 3 Pr 3.01-3.03

Raw formation energy in eV per atom: -1.837
Calculated volume in Å³/cell: 320.78



Record 4
This record from Alexandria describes Cu3BBr after structural relaxation. The functional is PBE.

abc: 4.6304 4.6304 4.6304
angles: 90.00 90.00 90.00
Last column: nearest neighbours and their distance in Å.
Fractional positions:
Cu 0.0000 0.0000 0.5000  2 Br 2.32
Cu 0.0000 0.5000 0.0000  2 Br 2.32
Cu 0.5000 0.0000 0.0000  2 Br 2.32
B 0.5000 0.5000 0.5000  12 Cu 3.27
Br 0.0000 0.0000 0.0000  6 Cu 2.32

Relative energy among the computed polymorphs in meV per atom: 1150
Raw formation energy in eV per atom: 1.717
Calculated volume in Å³/cell: 99.28



> The lowest raw formation energy belongs to which entry?

Pr3NdSm2Se6



> Which formula does entry 3 have?

Pr3NdSm2Se6



> The lowest calculated volume belongs to which entry?

Cu3BBr



> Among the records above, which one has the highest calculated volume?

CsLaSe2